VASP calculation (GGA+U) on CrCdN2O after structural relaxation.

Results
Space group = P4/mmm

a b c (Å): 4.2229 4.2229 4.1843
angles (deg): 90.00 90.00 90.00
Closest atoms and distances in Å follow each position.
Sites, in units of the cell vectors:
N  0.5000  0.0000  0.0000  2 Cd 2.11
N  0.0000  0.5000  0.0000  2 Cd 2.11
O  0.0000  0.0000  0.5000  2 Cd 2.09
Cr  0.5000  0.5000  0.5000  8 N 2.97, 4 O 2.99
Cd  0.0000  0.0000  0.0000  2 O 2.09, 4 N 2.11

VASP calculation (GGA+U) on CrCdN2O after structural relaxation.

Results
Space group = P4/mmm

a b c (Å): 3.6779 3.6779 4.0763
angles (deg): 90.00 90.00 90.00
Closest atoms and distances in Å follow each position.
Sites, in units of the cell vectors:
O  0.0000  0.0000  0.5000  2 Cr 2.04
Cr  0.0000  0.0000  0.0000  4 N 1.84, 2 O 2.04
N  0.0000  0.5000  0.0000  2 Cr 1.84
N  0.5000  0.0000  0.0000  2 Cr 1.84
Cd  0.5000  0.5000  0.5000  4 O 2.60, 8 N 2.75

In eV per atom, the E values for the records above are, in order, -4.505 -5.503.